No. 1
Here is a geometry-optimized NaZr3Cl structure from Alexandria via LeMat-Bulk. Energies are from PBE.

- raw total energy (eV per atom) = -4.2638
- formation energy without anion corrections (meV/atom) = 1498
- symmetry = Pm-3m, No. 221
- E above lowest polymorph (meV per atom) = 1288

abc: 5.131 5.131 5.131
angles: 90.00 90.00 90.00
Positions (direct):
Cl 0.500 0.500 0.500
Na 0.000 0.000 0.000
Zr 0.000 0.000 0.500
Zr 0.000 0.500 0.000
Zr 0.500 0.000 0.000

=====

No. 2
Here is a geometry-optimized NaZr2Cl structure from Alexandria via LeMat-Bulk. Energies are from PBE.

- raw total energy (eV per atom) = -4.5246
- formation energy without anion corrections (meV/atom) = 541
- symmetry = Fm-3m, No. 225
- E above lowest polymorph (meV per atom) = 407

abc: 4.969 4.969 4.969
angles: 60.00 60.00 60.00
Positions (direct):
Zr 0.250 0.250 0.250
Zr 0.750 0.750 0.750
Cl 0.500 0.500 0.500
Na 0.000 0.000 0.000